! NaZn12Au6 (GGA-PBE, optimized geometry); values from VASP
&SYSTEM
  ibrav = 0, nat = 19, ntyp = 3
/
ATOMIC_SPECIES
Na 22.99 Na.upf
Zn 65.41 Zn.upf
Au 196.97 Au.upf
CELL_PARAMETERS angstrom
5.820 3.360 2.954
-5.820 3.360 2.954
0.000 -6.720 2.954
ATOMIC_POSITIONS angstrom
Na 0.000 0.000 0.000
Zn -2.269 -3.930 4.432
Zn -4.538 0.000 4.432
Zn -1.466 -0.846 2.617
Zn 1.466 -0.846 2.617
Zn 0.000 1.692 2.617
Zn 2.269 -3.930 4.432
Zn -2.269 3.930 4.432
Zn 0.000 -1.692 6.247
Zn -1.466 0.846 6.247
Zn 1.466 0.846 6.247
Zn 4.538 0.000 4.432
Zn 2.269 3.930 4.432
Au 0.000 -2.812 3.762
Au -2.435 1.406 3.762
Au -2.435 -1.406 5.102
Au 2.435 1.406 3.762
Au 2.435 -1.406 5.102
Au 0.000 2.812 5.102
! - Energy of formation: -153.3 meV/atom
! - SG: R-3m, No. 166
! - Total energy: -2.0623 eV/atom

=====

! Na2Zn2Au (GGA-PBE, optimized geometry); values from VASP
&SYSTEM
  ibrav = 0, nat = 10, ntyp = 3
/
ATOMIC_SPECIES
Na 22.99 Na.upf
Zn 65.41 Zn.upf
Au 196.97 Au.upf
CELL_PARAMETERS angstrom
8.994 0.000 0.000
0.000 8.994 0.000
0.000 0.000 2.749
ATOMIC_POSITIONS angstrom
Na 1.761 2.736 0.000
Na 2.736 7.233 0.000
Na 6.257 1.761 0.000
Na 7.233 6.257 0.000
Zn 0.900 5.397 1.375
Zn 3.597 0.900 1.375
Zn 5.397 8.093 1.375
Zn 8.093 3.597 1.375
Au 0.000 0.000 0.000
Au 4.497 4.497 0.000
! - Energy of formation: 142.7 meV/atom
! - SG: P4/mbm, No. 127
! - Total energy: -1.5500 eV/atom

=====

! Na3Zn8Au (GGA-PBE, optimized geometry); values from VASP
&SYSTEM
  ibrav = 0, nat = 12, ntyp = 3
/
ATOMIC_SPECIES
Na 22.99 Na.upf
Zn 65.41 Zn.upf
Au 196.97 Au.upf
CELL_PARAMETERS angstrom
2.639 1.524 8.804
-2.639 1.524 8.804
0.000 -3.047 8.804
ATOMIC_POSITIONS angstrom
Na 0.000 0.000 0.000
Na 0.000 0.000 3.350
Na 0.000 0.000 16.451
Zn 0.000 -1.523 6.004
Zn -1.319 0.761 6.004
Zn -1.307 -0.755 10.501
Zn 0.000 0.000 8.280
Zn 1.319 0.761 6.004
Zn 1.307 -0.755 10.501
Zn 0.000 1.509 10.501
Zn 0.000 0.000 21.458
Au 0.000 0.000 13.204
! - Energy of formation: -66.1 meV/atom
! - SG: R3m, No. 160
! - Total energy: -1.5183 eV/atom

=====

! Na3Zn9Au2 (GGA-PBE, optimized geometry); values from VASP
&SYSTEM
  ibrav = 0, nat = 14, ntyp = 3
/
ATOMIC_SPECIES
Na 22.99 Na.upf
Zn 65.41 Zn.upf
Au 196.97 Au.upf
CELL_PARAMETERS angstrom
-2.189 4.645 6.445
2.189 -4.645 6.445
2.189 4.645 -6.445
ATOMIC_POSITIONS angstrom
Na 0.000 0.000 0.000
Na 0.000 0.000 3.919
Na 0.000 0.000 8.971
Zn 2.189 -1.320 2.264
Zn 2.189 -2.051 4.802
Zn 2.189 1.320 2.264
Zn 0.000 2.594 1.643
Zn 0.000 4.645 0.000
Zn 2.189 2.051 4.802
Zn 0.000 3.324 4.181
Zn 0.000 6.696 1.643
Zn 0.000 5.965 4.181
Au 2.189 2.822 0.000
Au 0.000 1.822 6.445
! - Energy of formation: -107.0 meV/atom
! - SG: Immm, No. 71
! - Total energy: -1.6769 eV/atom

=====

! NaZn7Au12 (GGA-PBE, optimized geometry); values from VASP
&SYSTEM
  ibrav = 0, nat = 20, ntyp = 3
/
ATOMIC_SPECIES
Na 22.99 Na.upf
Zn 65.41 Zn.upf
Au 196.97 Au.upf
CELL_PARAMETERS angstrom
-4.762 4.762 4.762
4.762 -4.762 4.762
4.762 4.762 -4.762
ATOMIC_POSITIONS angstrom
Na 0.000 0.000 0.000
Zn 2.381 2.381 -2.381
Zn 2.381 -2.381 2.381
Zn 4.762 0.000 0.000
Zn -2.381 2.381 2.381
Zn 0.000 4.762 0.000
Zn 0.000 0.000 4.762
Zn 2.381 2.381 2.381
Au 4.762 3.334 -2.173
Au 2.589 0.000 1.428
Au 6.934 0.000 1.428
Au 1.428 2.589 0.000
Au 3.334 -2.173 4.762
Au 0.000 1.428 2.589
Au 4.762 3.334 2.173
Au 1.428 6.934 0.000
Au 3.334 2.173 4.762
Au -2.173 4.762 3.334
Au 2.173 4.762 3.334
Au 0.000 1.428 6.934
! - Energy of formation: 46.1 meV/atom
! - SG: Im-3, No. 204
! - Total energy: -2.4321 eV/atom

=====

! NaZn3Au3 (GGA-PBE, optimized geometry); values from VASP
&SYSTEM
  ibrav = 0, nat = 14, ntyp = 3
/
ATOMIC_SPECIES
Na 22.99 Na.upf
Zn 65.41 Zn.upf
Au 196.97 Au.upf
CELL_PARAMETERS angstrom
7.165 0.000 0.000
0.000 7.165 0.000
0.000 0.000 7.165
ATOMIC_POSITIONS angstrom
Na 0.000 0.000 0.000
Na 3.582 3.582 3.582
Zn 0.000 1.791 3.582
Zn 0.000 5.374 3.582
Zn 1.791 3.582 0.000
Zn 3.582 0.000 1.791
Zn 3.582 0.000 5.374
Zn 5.374 3.582 0.000
Au 0.000 3.582 1.791
Au 0.000 3.582 5.374
Au 1.791 0.000 3.582
Au 3.582 1.791 0.000
Au 3.582 5.374 0.000
Au 5.374 0.000 3.582
! - Energy of formation: 15.7 meV/atom
! - SG: Pm-3n, No. 223
! - Total energy: -2.1234 eV/atom

=====

! Na2Zn2Au (GGA-PBE, optimized geometry); values from VASP
&SYSTEM
  ibrav = 0, nat = 5, ntyp = 3
/
ATOMIC_SPECIES
Na 22.99 Na.upf
Zn 65.41 Zn.upf
Au 196.97 Au.upf
CELL_PARAMETERS angstrom
-1.793 1.793 8.933
1.793 -1.793 8.933
1.793 1.793 -8.933
ATOMIC_POSITIONS angstrom
Na 0.000 0.000 1.714
Na 0.000 0.000 16.152
Zn 1.793 0.000 4.467
Zn 0.000 1.793 4.467
Au 0.000 0.000 8.933
! - Energy of formation: -50.6 meV/atom
! - SG: I4/mmm, No. 139
! - Total energy: -1.7433 eV/atom

=====

! NaZnAu3 (GGA-PBE, optimized geometry); values from VASP
&SYSTEM
  ibrav = 0, nat = 5, ntyp = 3
/
ATOMIC_SPECIES
Na 22.99 Na.upf
Zn 65.41 Zn.upf
Au 196.97 Au.upf
CELL_PARAMETERS angstrom
4.990 0.000 0.000
0.000 4.990 0.000
0.000 0.000 4.990
ATOMIC_POSITIONS angstrom
Na 0.000 0.000 0.000
Zn 2.495 2.495 2.495
Au 0.000 0.000 2.495
Au 0.000 2.495 0.000
Au 2.495 0.000 0.000
! - Energy of formation: 833.0 meV/atom
! - SG: Pm-3m, No. 221
! - Total energy: -1.6520 eV/atom

=====

! NaZn3Au2 (GGA-PBE, optimized geometry); values from VASP
&SYSTEM
  ibrav = 0, nat = 18, ntyp = 3
/
ATOMIC_SPECIES
Na 22.99 Na.upf
Zn 65.41 Zn.upf
Au 196.97 Au.upf
CELL_PARAMETERS angstrom
9.613 0.000 0.000
-4.807 8.325 0.000
0.000 0.000 4.336
ATOMIC_POSITIONS angstrom
Na 0.000 0.000 0.000
Na 0.000 5.550 2.168
Na 4.807 2.775 2.168
Zn -1.413 2.448 2.168
Zn -2.403 4.163 0.000
Zn -3.393 5.878 2.168
Zn 2.826 0.000 2.168
Zn 1.413 2.448 2.168
Zn 4.807 0.000 0.000
Zn 2.403 4.163 0.000
Zn 6.787 0.000 2.168
Zn 3.393 5.878 2.168
Au 0.000 3.127 0.000
Au -2.099 6.762 0.000
Au 2.708 1.563 0.000
Au 2.099 6.762 0.000
Au 6.906 1.563 0.000
Au 4.807 5.199 0.000
! - Energy of formation: -231.2 meV/atom
! - SG: P6/mmm, No. 191
! - Total energy: -2.1805 eV/atom

=====

! Na3Zn2Au3 (GGA-PBE, optimized geometry); values from VASP
&SYSTEM
  ibrav = 0, nat = 16, ntyp = 3
/
ATOMIC_SPECIES
Na 22.99 Na.upf
Zn 65.41 Zn.upf
Au 196.97 Au.upf
CELL_PARAMETERS angstrom
2.175 -5.577 0.000
2.175 5.577 0.000
0.000 0.000 14.588
ATOMIC_POSITIONS angstrom
Na 2.175 4.746 8.939
Na 2.175 4.746 12.942
Na 2.175 1.437 10.941
Na 2.175 -1.437 3.647
Na 2.175 -4.746 1.645
Na 2.175 -4.746 5.649
Zn 2.175 3.088 1.311
Zn 2.175 3.088 5.983
Zn 2.175 -3.088 8.605
Zn 2.175 -3.088 13.277
Au 2.175 1.912 3.647
Au 2.175 1.235 7.919
Au 2.175 1.235 13.962
Au 2.175 -1.235 0.625
Au 2.175 -1.235 6.669
Au 2.175 -1.912 10.941
! - Energy of formation: -279.7 meV/atom
! - SG: Cmcm, No. 63
! - Total energy: -2.3219 eV/atom

=====

! NaZn4Au2 (GGA-PBE, optimized geometry); values from VASP
&SYSTEM
  ibrav = 0, nat = 7, ntyp = 3
/
ATOMIC_SPECIES
Na 22.99 Na.upf
Zn 65.41 Zn.upf
Au 196.97 Au.upf
CELL_PARAMETERS angstrom
-2.515 2.515 6.698
2.515 -2.515 6.698
2.515 2.515 -6.698
ATOMIC_POSITIONS angstrom
Na 0.000 0.000 0.000
Zn 2.515 0.000 0.000
Zn 0.000 0.000 2.866
Zn 0.000 2.515 0.000
Zn 0.000 0.000 10.531
Au 0.000 0.000 5.363
Au 0.000 0.000 8.033
! - Energy of formation: 391.7 meV/atom
! - SG: I4/mmm, No. 139
! - Total energy: -1.4611 eV/atom

=====

! NaZnAu2 (GGA-PBE, optimized geometry); values from VASP
&SYSTEM
  ibrav = 0, nat = 4, ntyp = 3
/
ATOMIC_SPECIES
Na 22.99 Na.upf
Zn 65.41 Zn.upf
Au 196.97 Au.upf
CELL_PARAMETERS angstrom
4.441 0.000 0.000
0.000 4.441 0.000
0.000 0.000 3.638
ATOMIC_POSITIONS angstrom
Na 0.000 0.000 0.000
Zn 2.221 2.221 0.000
Au 0.000 2.221 1.819
Au 2.221 0.000 1.819
! - Energy of formation: -191.9 meV/atom
! - SG: P4/mmm, No. 123
! - Total energy: -2.4788 eV/atom

=====

! NaZn2Au3 (GGA-PBE, optimized geometry); values from VASP
&SYSTEM
  ibrav = 0, nat = 12, ntyp = 3
/
ATOMIC_SPECIES
Na 22.99 Na.upf
Zn 65.41 Zn.upf
Au 196.97 Au.upf
CELL_PARAMETERS angstrom
5.492 -4.353 0.000
5.492 4.353 0.000
0.000 0.000 5.483
ATOMIC_POSITIONS angstrom
Na 5.492 2.527 4.112
Na 5.492 -2.527 1.371
Zn 3.286 0.000 0.000
Zn 3.286 0.000 2.742
Zn 7.698 0.000 0.000
Zn 7.698 0.000 2.742
Au 3.176 2.346 1.371
Au 5.492 0.752 1.371
Au 7.807 2.346 1.371
Au 3.176 -2.346 4.112
Au 5.492 -0.752 4.112
Au 7.807 -2.346 4.112
! - Energy of formation: -257.0 meV/atom
! - SG: Cmcm, No. 63
! - Total energy: -2.5402 eV/atom

=====

! NaZn9Au3 (GGA-PBE, optimized geometry); values from VASP
&SYSTEM
  ibrav = 0, nat = 13, ntyp = 3
/
ATOMIC_SPECIES
Na 22.99 Na.upf
Zn 65.41 Zn.upf
Au 196.97 Au.upf
CELL_PARAMETERS angstrom
2.799 -6.344 0.000
2.799 6.344 0.000
-2.674 0.000 6.306
ATOMIC_POSITIONS angstrom
Na 0.000 0.000 0.000
Zn 0.063 2.226 2.237
Zn 0.148 1.372 4.904
Zn 0.063 -2.226 2.237
Zn 2.778 1.372 1.403
Zn 1.463 0.000 3.153
Zn 0.148 -1.372 4.904
Zn 2.863 2.226 4.069
Zn 2.778 -1.372 1.403
Zn 2.863 -2.226 4.069
Au -1.337 0.000 3.153
Au 1.400 3.172 0.000
Au 1.400 -3.172 0.000
! - Energy of formation: -118.6 meV/atom
! - SG: C2/m, No. 12
! - Total energy: -1.8583 eV/atom

=====

! Na3ZnAu4 (GGA-PBE, optimized geometry); values from VASP
&SYSTEM
  ibrav = 0, nat = 8, ntyp = 3
/
ATOMIC_SPECIES
Na 22.99 Na.upf
Zn 65.41 Zn.upf
Au 196.97 Au.upf
CELL_PARAMETERS angstrom
-2.739 3.819 4.523
2.739 -3.819 4.523
2.739 3.819 -4.523
ATOMIC_POSITIONS angstrom
Na 0.000 0.000 0.000
Na 2.739 2.063 -1.243
Na 0.000 1.755 3.280
Zn 2.739 0.000 3.862
Au 2.739 -1.371 1.709
Au 2.739 1.371 1.709
Au 1.381 3.819 1.463
Au 1.357 0.000 5.986
! - Energy of formation: -254.6 meV/atom
! - SG: Imm2, No. 44
! - Total energy: -2.5471 eV/atom

=====

! NaZn2Au8 (GGA-PBE, optimized geometry); values from VASP
&SYSTEM
  ibrav = 0, nat = 11, ntyp = 3
/
ATOMIC_SPECIES
Na 22.99 Na.upf
Zn 65.41 Zn.upf
Au 196.97 Au.upf
CELL_PARAMETERS angstrom
5.519 0.000 0.000
0.000 5.519 0.000
0.000 0.000 8.515
ATOMIC_POSITIONS angstrom
Na 0.000 0.000 0.000
Zn 0.000 2.760 4.258
Zn 2.760 0.000 4.258
Au 1.385 1.385 2.422
Au 1.385 1.385 6.094
Au 1.385 4.134 2.422
Au 1.385 4.134 6.094
Au 4.134 1.385 2.422
Au 4.134 1.385 6.094
Au 4.134 4.134 2.422
Au 4.134 4.134 6.094
! - Energy of formation: -42.0 meV/atom
! - SG: P4/mmm, No. 123
! - Total energy: -2.7771 eV/atom

=====

! Na4ZnAu4 (GGA-PBE, optimized geometry); values from VASP
&SYSTEM
  ibrav = 0, nat = 9, ntyp = 3
/
ATOMIC_SPECIES
Na 22.99 Na.upf
Zn 65.41 Zn.upf
Au 196.97 Au.upf
CELL_PARAMETERS angstrom
-3.091 3.091 6.239
3.091 -3.091 6.239
3.091 3.091 -6.239
ATOMIC_POSITIONS angstrom
Na 1.723 1.723 -1.740
Na 1.368 -1.368 7.978
Na 1.368 1.368 4.499
Na -1.368 1.368 7.978
Zn 0.000 0.000 0.000
Au 1.626 -1.626 4.742
Au 1.465 1.465 1.497
Au -1.626 1.626 4.742
Au 1.626 1.626 7.735
! - Energy of formation: -133.8 meV/atom
! - SG: I-42m, No. 121
! - Total energy: -2.3182 eV/atom

=====

! NaZn3Au3 (GGA-PBE, optimized geometry); values from VASP
&SYSTEM
  ibrav = 0, nat = 14, ntyp = 3
/
ATOMIC_SPECIES
Na 22.99 Na.upf
Zn 65.41 Zn.upf
Au 196.97 Au.upf
CELL_PARAMETERS angstrom
3.526 2.036 6.041
-3.526 2.036 6.041
0.000 -4.072 6.041
ATOMIC_POSITIONS angstrom
Na 0.000 0.000 2.949
Na 0.000 0.000 15.175
Zn -0.647 -1.929 5.233
Zn -1.347 1.525 5.233
Zn -1.994 -0.404 12.891
Zn 1.994 0.404 5.233
Zn 1.347 -1.525 12.891
Zn 0.647 1.929 12.891
Au -0.836 -1.508 7.852
Au -1.724 -0.030 10.272
Au -0.888 1.478 7.852
Au 0.888 -1.478 10.272
Au 1.724 0.030 7.852
Au 0.836 1.508 10.272
! - Energy of formation: -186.6 meV/atom
! - SG: R-3, No. 148
! - Total energy: -2.3256 eV/atom

=====

! Na4ZnAu (GGA-PBE, optimized geometry); values from VASP
&SYSTEM
  ibrav = 0, nat = 12, ntyp = 3
/
ATOMIC_SPECIES
Na 22.99 Na.upf
Zn 65.41 Zn.upf
Au 196.97 Au.upf
CELL_PARAMETERS angstrom
-3.710 3.710 5.825
3.710 -3.710 5.825
3.710 3.710 -5.825
ATOMIC_POSITIONS angstrom
Na 4.976 1.266 -1.575
Na 1.266 2.444 -1.575
Na 4.976 1.266 1.575
Na 1.266 2.444 1.575
Na 2.444 1.266 4.250
Na -1.266 2.444 4.250
Na 2.444 1.266 7.400
Na -1.266 2.444 7.400
Zn 0.000 0.000 0.000
Zn 0.000 0.000 5.825
Au 0.000 0.000 2.912
Au 0.000 0.000 8.737
! - Energy of formation: -103.3 meV/atom
! - SG: I4/mcm, No. 140
! - Total energy: -1.7412 eV/atom

=====

! NaZn3Au2 (GGA-PBE, optimized geometry); values from VASP
&SYSTEM
  ibrav = 0, nat = 12, ntyp = 3
/
ATOMIC_SPECIES
Na 22.99 Na.upf
Zn 65.41 Zn.upf
Au 196.97 Au.upf
CELL_PARAMETERS angstrom
6.256 -2.247 0.000
6.256 2.247 0.000
-4.730 0.000 8.047
ATOMIC_POSITIONS angstrom
Na 1.720 0.000 0.345
Na 6.061 0.000 7.703
Zn -1.009 0.000 2.652
Zn 1.501 0.000 3.972
Zn 3.796 0.000 2.598
Zn 3.986 0.000 5.450
Zn 6.281 0.000 4.075
Zn 8.791 0.000 5.395
Au -0.930 0.000 5.389
Au 1.724 0.000 6.700
Au 6.058 0.000 1.347
Au 8.712 0.000 2.658
! - Energy of formation: -202.2 meV/atom
! - SG: C2/m, No. 12
! - Total energy: -2.1514 eV/atom